(1)
DFT (GGA-PBE) results for a relaxed Na2MgGa10 crystal.

abc: 6.1278 5.4072 17.1988
angles: 90.00 90.01 88.90
With the nearest neighbours (Å) after each atom.
Sites, in units of the cell vectors:
Na: 0.6641 0.2432 0.8168  7 Ga 3.09-3.38
Na: 0.3359 0.7568 0.1832  7 Ga 3.09-3.38
Na: 0.6642 0.7432 0.6832  7 Ga 3.10-3.38
Na: 0.3358 0.2568 0.3168  7 Ga 3.10-3.38
Mg: 0.0000 0.5000 0.5000  6 Ga 2.69-2.91
Mg: 0.0000 0.0000 0.0000  6 Ga 2.69-2.91
Ga: 0.7692 0.0382 0.4823  4 Ga 2.60-2.91, 1 Mg 2.91
Ga: 0.2308 0.9618 0.5177  4 Ga 2.60-2.91, 1 Mg 2.91
Ga: 0.7692 0.5382 0.0177  4 Ga 2.60-2.92, 1 Mg 2.91
Ga: 0.2308 0.4618 0.9823  4 Ga 2.60-2.92, 1 Mg 2.91
Ga: 0.1888 0.0576 0.7098  4 Ga 2.58-2.72
Ga: 0.8112 0.9424 0.2902  4 Ga 2.58-2.72
Ga: 0.1300 0.2704 0.1267  4 Ga 2.56-2.80, 1 Mg 2.75
Ga: 0.4570 0.7572 0.8956  4 Ga 2.56-2.69
Ga: 0.5430 0.7428 0.3956  4 Ga 2.56-2.69
Ga: 0.8700 0.2296 0.6267  4 Ga 2.56-2.80, 1 Mg 2.75
Ga: 0.8700 0.7296 0.8733  4 Ga 2.56-2.80, 1 Mg 2.75
Ga: 0.5430 0.2428 0.1044  4 Ga 2.56-2.69
Ga: 0.4570 0.2572 0.6044  4 Ga 2.56-2.69
Ga: 0.1300 0.7704 0.3733  4 Ga 2.56-2.80, 1 Mg 2.75
Ga: 0.8274 0.8916 0.1393  5 Ga 2.61-2.86, 1 Mg 2.69
Ga: 0.1726 0.1084 0.8607  5 Ga 2.61-2.86, 1 Mg 2.69
Ga: 0.8274 0.3916 0.3607  5 Ga 2.61-2.86, 1 Mg 2.69
Ga: 0.1726 0.6084 0.6393  5 Ga 2.61-2.86, 1 Mg 2.69
Ga: 0.8112 0.4424 0.2098  4 Ga 2.58-2.72
Ga: 0.1888 0.5576 0.7902  4 Ga 2.58-2.72

Summary:
The value obtained for the density is 4.47 Mg/m³. Its symmetry is No. 14.



(2)
DFT (GGA-PBE) results for a relaxed Zr2GePt9 crystal.

abc: 4.0321 4.0321 12.0565
angles: 90.00 90.00 90.00
With the nearest neighbours (Å) after each atom.
Sites, in units of the cell vectors:
Zr: 0.0000 0.0000 0.3312  12 Pt 2.84-2.86
Zr: 0.0000 0.0000 0.6688  12 Pt 2.84-2.86
Ge: 0.0000 0.0000 0.0000  12 Pt 2.83-2.85
Pt: 0.5000 0.5000 0.0000  8 Pt 2.83, 4 Ge 2.85
Pt: 0.5000 0.5000 0.3316  8 Pt 2.85-2.86, 4 Zr 2.85
Pt: 0.5000 0.5000 0.6684  8 Pt 2.85-2.86, 4 Zr 2.85
Pt: 0.5000 0.0000 0.1649  2 Ge 2.83, 8 Pt 2.83-2.85, 2 Zr 2.84
Pt: 0.5000 0.0000 0.5000  8 Pt 2.85-2.86, 4 Zr 2.86
Pt: 0.5000 0.0000 0.8351  2 Ge 2.83, 8 Pt 2.83-2.85, 2 Zr 2.84
Pt: 0.0000 0.5000 0.1649  8 Pt 2.83-2.85, 2 Ge 2.83, 2 Zr 2.84
Pt: 0.0000 0.5000 0.5000  8 Pt 2.85-2.86, 4 Zr 2.86
Pt: 0.0000 0.5000 0.8351  8 Pt 2.83-2.85, 2 Ge 2.83, 2 Zr 2.84

Summary:
The value obtained for the density is 17.04 Mg/m³. Its symmetry is No. 123.



(3)
DFT (GGA-PBE) results for a relaxed LaY3C crystal.

abc: 5.5570 5.5570 5.5570
angles: 90.00 90.00 90.00
With the nearest neighbours (Å) after each atom.
Sites, in units of the cell vectors:
Y: 0.0000 0.5000 0.0000  2 La 2.78
Y: 0.0000 0.0000 0.5000  2 La 2.78
Y: 0.5000 0.0000 0.0000  2 La 2.78
C: 0.5000 0.5000 0.5000  12 Y 3.93
La: 0.0000 0.0000 0.0000  6 Y 2.78

Summary:
The value obtained for the energy relative to the lowest polymorph listed for this composition is 2.143 eV per atom. The value obtained for the density is 4.04 Mg/m³. Its symmetry is No. 221.



(4)
DFT (GGA-PBE) results for a relaxed RbReOF2 crystal.

abc: 4.8464 4.8464 4.4095
angles: 90.00 90.00 90.00
With the nearest neighbours (Å) after each atom.
Sites, in units of the cell vectors:
Re: 0.5000 0.5000 0.5000  8 F 3.28, 4 O 3.43
O: 0.0000 0.0000 0.5000  2 Rb 2.20
Rb: 0.0000 0.0000 0.0000  2 O 2.20, 4 F 2.42
F: 0.0000 0.5000 0.0000  2 Rb 2.42
F: 0.5000 0.0000 0.0000  2 Rb 2.42

Summary:
The value obtained for the energy relative to the lowest polymorph listed for this composition is 2.113 eV per atom. Its formation energy (no corrections) is 0.581 eV per atom. The value obtained for the density is 5.22 Mg/m³. Its symmetry is No. 123.



(5)
DFT (GGA-PBE) results for a relaxed YTcN3 crystal.

abc: 4.0290 4.5984 6.8941
angles: 90.00 107.10 90.00
With the nearest neighbours (Å) after each atom.
Sites, in units of the cell vectors:
Y: 0.0982 0.2500 0.3588  6 N 2.34-2.52
Y: 0.9018 0.7500 0.6412  6 N 2.34-2.52
Tc: 0.6603 0.2500 0.8298  1 N 1.92
Tc: 0.3397 0.7500 0.1702  1 N 1.92
N: 0.7964 0.8972 0.0907  1 N 1.35
N: 0.2036 0.1028 0.9093  1 N 1.35
N: 0.7964 0.6028 0.0907  1 N 1.35
N: 0.2036 0.3972 0.9093  1 N 1.35
N: 0.7291 0.2500 0.5657  1 Tc 1.92
N: 0.2709 0.7500 0.4343  1 Tc 1.92

Summary:
Its formation energy (no corrections) is -0.045 eV per atom. The value obtained for the density is 6.23 Mg/m³. Its symmetry is No. 11.



(6)
DFT (GGA-PBE) results for a relaxed RbInSe2N crystal.

abc: 5.9744 5.9744 4.7128
angles: 90.00 90.00 90.00
With the nearest neighbours (Å) after each atom.
Sites, in units of the cell vectors:
N: 0.0000 0.0000 0.5000  2 Rb 2.36
Se: 0.0000 0.5000 0.0000  2 Rb 2.99
Se: 0.5000 0.0000 0.0000  2 Rb 2.99
Rb: 0.0000 0.0000 0.0000  2 N 2.36
In: 0.5000 0.5000 0.5000  8 Se 3.80, 4 N 4.22

Summary:
The value obtained for the energy relative to the lowest polymorph listed for this composition is 1.268 eV per atom. Its formation energy (no corrections) is 1.562 eV per atom. The value obtained for the density is 3.67 Mg/m³. Its symmetry is No. 123.



(7)
DFT (GGA-PBE) results for a relaxed Na4Te3AuS8 crystal.

abc: 7.5776 7.6162 9.1349
angles: 121.46 114.50 90.00
With the nearest neighbours (Å) after each atom.
Sites, in units of the cell vectors:
Na: 0.5000 0.0000 0.0000  6 S 2.77-3.08
Na: 0.5000 0.0000 0.5000  4 S 2.84-2.86
Na: 0.0000 0.0000 0.0000  6 S 2.84-2.93
Na: 0.0000 0.0000 0.5000  4 S 2.84-2.86
Te: 0.5000 0.5000 0.0000  4 S 2.68
Te: 0.5000 0.5000 0.5000  6 S 2.66-2.78
Te: 0.0000 0.5000 0.5000  6 S 2.66-2.78
Au: 0.0000 0.5000 0.0000  4 S 2.50
S: 0.1794 0.6418 0.8909  1 Au 2.50, 2 Te 2.68-2.78
S: 0.2984 0.7931 0.5969  2 Te 2.68, 3 Na 2.77-2.86
S: 0.2066 0.2126 0.4132  2 Te 2.66, 3 Na 2.84
S: 0.7115 0.6418 0.8909  1 Au 2.50, 2 Te 2.68-2.78
S: 0.2885 0.3582 0.1091  1 Au 2.50, 2 Te 2.68-2.78
S: 0.7934 0.7874 0.5868  2 Te 2.66, 3 Na 2.84
S: 0.7016 0.2069 0.4031  2 Te 2.68, 3 Na 2.77-2.86
S: 0.8206 0.3582 0.1091  1 Au 2.50, 2 Te 2.68-2.78

Summary:
Its formation energy (no corrections) is -0.397 eV per atom. The value obtained for the density is 3.92 Mg/m³. Its symmetry is No. 12.



(8)
DFT (GGA-PBE) results for a relaxed NaZnSnBi crystal.

abc: 5.3507 5.3507 5.3507
angles: 60.00 60.00 60.00
With the nearest neighbours (Å) after each atom.
Sites, in units of the cell vectors:
Na: 0.2500 0.2500 0.2500  4 Bi 3.28, 4 Zn 3.28
Zn: 0.0000 0.0000 0.0000  4 Sn 3.28, 4 Na 3.28
Bi: 0.5000 0.5000 0.5000  4 Sn 3.28, 4 Na 3.28
Sn: 0.7500 0.7500 0.7500  4 Bi 3.28, 4 Zn 3.28

Summary:
The value obtained for the density is 6.38 Mg/m³. Its symmetry is No. 216.



(9)
DFT (GGA-PBE) results for a relaxed HgSbN2O crystal.

abc: 4.1601 4.1601 3.9635
angles: 90.00 90.00 90.00
With the nearest neighbours (Å) after each atom.
Sites, in units of the cell vectors:
Sb: 0.0000 0.0000 0.0000  2 O 1.98, 4 N 2.08
Hg: 0.5000 0.5000 0.5000  8 N 2.87, 4 O 2.94
O: 0.0000 0.0000 0.5000  2 Sb 1.98
N: 0.0000 0.5000 0.0000  2 Sb 2.08
N: 0.5000 0.0000 0.0000  2 Sb 2.08

Summary:
Its formation energy (no corrections) is 0.851 eV per atom. The value obtained for the density is 8.87 Mg/m³. Its symmetry is No. 123.



(10)
DFT (GGA-PBE) results for a relaxed Pr5Sm4Tl4 crystal.

abc: 5.1927 9.3747 9.3747
angles: 85.60 73.92 73.92
With the nearest neighbours (Å) after each atom.
Sites, in units of the cell vectors:
Pr: 0.6927 0.9091 0.7054  3 Tl 3.30-3.33, 2 Sm 3.63
Pr: 0.3073 0.0909 0.2946  3 Tl 3.30-3.33, 2 Sm 3.63
Pr: 0.0000 0.0000 0.0000  4 Tl 3.26
Pr: 0.6019 0.7054 0.0909  3 Tl 3.30-3.33, 2 Sm 3.63
Pr: 0.3981 0.2946 0.9091  3 Tl 3.30-3.33, 2 Sm 3.63
Sm: 0.9080 0.4837 0.7004  3 Tl 3.19-3.41
Sm: 0.6084 0.2996 0.4837  3 Tl 3.19-3.41
Sm: 0.0920 0.5163 0.2996  3 Tl 3.19-3.41
Sm: 0.3916 0.7004 0.5163  3 Tl 3.19-3.41
Tl: 0.7654 0.3376 0.1317  3 Sm 3.19-3.41, 4 Pr 3.26-3.33
Tl: 0.2346 0.6624 0.8683  3 Sm 3.19-3.41, 4 Pr 3.26-3.33
Tl: 0.8970 0.8683 0.3376  3 Sm 3.19-3.41, 4 Pr 3.26-3.33
Tl: 0.1030 0.1317 0.6624  3 Sm 3.19-3.41, 4 Pr 3.26-3.33

Summary:
The value obtained for the density is 8.37 Mg/m³. Its symmetry is No. 87.



no.,total energy (eV per atom)
1,-2.685
2,-7.119
3,-4.570
4,-3.842
5,-8.406
6,-2.238
7,-3.585
8,-2.636
9,-4.356
10,-4.267